Entry 1:
VASP calculation (GGA-PBE) on TiNbZnPd after structural relaxation.

Properties
Energy of formation from the pure elements   -0.296 eV per atom
Crystal system   tetragonal

a = 2.840 Å, b = 2.840 Å, c = 7.995 Å
α = 90.00°, β = 90.00°, γ = 90.00°
Positions (direct):
Pd 0.000 0.000 0.565
Nb 0.000 0.000 0.076
Zn 0.500 0.500 0.340
Ti 0.500 0.500 0.803

Entry 2:
VASP calculation (GGA-PBE) on YTlMo2 after structural relaxation.

Properties
Energy of formation from the pure elements   0.496 eV per atom
Relative energy among the computed polymorphs   348 meV/atom
Crystal system   monoclinic

a = 5.042 Å, b = 3.098 Å, c = 5.499 Å
α = 85.49°, β = 90.00°, γ = 90.00°
Positions (direct):
Tl 0.500 0.250 0.250
Y 0.500 0.750 0.750
Mo 0.000 0.413 0.546
Mo 0.000 0.087 0.954

Entry 3:
VASP calculation (GGA-PBE) on MgTeSe after structural relaxation.

Properties
Relative energy among the computed polymorphs   349 meV/atom
Crystal system   cubic
Raw formation energy   -320 meV per atom

a = 4.839 Å, b = 4.839 Å, c = 4.839 Å
α = 60.00°, β = 60.00°, γ = 60.00°
Positions (direct):
Te 0.500 0.500 0.500
Se 0.000 0.000 0.000
Mg 0.750 0.750 0.750

Entry 4:
VASP calculation (GGA-PBE) on Ho8Tm3Mg after structural relaxation.

Properties
Energy of formation from the pure elements   0.027 eV per atom
Crystal system   monoclinic

a = 4.943 Å, b = 9.883 Å, c = 9.234 Å
α = 57.68°, β = 105.49°, γ = 89.96°
Positions (direct):
Tm 0.750 0.373 0.500
Mg 0.250 0.621 0.500
Ho 0.750 0.872 0.500
Tm 0.582 0.790 0.164
Ho 0.584 0.288 0.169
Ho 0.082 0.038 0.163
Ho 0.250 0.123 0.499
Ho 0.918 0.454 0.835
Ho 0.082 0.543 0.165
Ho 0.418 0.703 0.835
Tm 0.417 0.206 0.835
Ho 0.915 0.957 0.831

Entry 5:
VASP calculation (GGA-PBE) on CaPd4Au2 after structural relaxation.

Properties
Energy of formation from the pure elements   0.214 eV per atom
Relative energy among the computed polymorphs   493 meV/atom
Crystal system   tetragonal

a = 6.370 Å, b = 6.370 Å, c = 6.370 Å
α = 100.20°, β = 100.20°, γ = 130.22°
Last column: magnetic moment on the atom in μB.
Positions (direct):
Pd 0.500 0.718 0.218  0.09
Au 0.250 0.750 0.500  0.01
Ca 0.000 0.000 0.000  0.00
Pd 0.718 0.500 0.218  0.09
Pd 0.282 0.500 0.782  0.09
Au 0.750 0.250 0.500  0.01
Pd 0.500 0.282 0.782  0.09

Entry 6:
VASP calculation (GGA-PBE) on Ba12Pt5Au2 after structural relaxation.

Properties
Energy of formation from the pure elements   -0.581 eV per atom
Crystal system   monoclinic

a = 8.619 Å, b = 9.522 Å, c = 11.522 Å
α = 104.83°, β = 90.00°, γ = 116.91°
Positions (direct):
Ba 0.622 0.738 0.507
Ba 0.561 0.617 0.849
Au 0.182 0.000 0.000
Pt 0.269 0.538 0.015
Pt 0.272 0.545 0.631
Ba 0.084 0.169 0.800
Pt 0.000 0.000 0.500
Ba 0.916 0.831 0.200
Ba 0.884 0.262 0.493
Ba 0.378 0.262 0.493
Ba 0.944 0.383 0.151
Ba 0.116 0.738 0.507
Ba 0.439 0.383 0.151
Au 0.818 0.000 0.000
Pt 0.731 0.462 0.985
Pt 0.728 0.455 0.369
Ba 0.455 0.911 0.159
Ba 0.545 0.089 0.841
Ba 0.056 0.617 0.849

Entry 7:
VASP calculation (GGA-PBE) on HoTl3 after structural relaxation.

Properties
Energy of formation from the pure elements   -0.218 eV per atom
Crystal system   cubic

a = 4.759 Å, b = 4.759 Å, c = 4.759 Å
α = 90.00°, β = 90.00°, γ = 90.00°
Positions (direct):
Tl 0.000 0.500 0.500
Ho 0.000 0.000 0.000
Tl 0.500 0.500 0.000
Tl 0.500 0.000 0.500

Entry 8:
VASP calculation (GGA-PBE) on Cd2RuBr after structural relaxation.

Properties
Relative energy among the computed polymorphs   267 meV/atom
Crystal system   tetragonal
Raw formation energy   434 meV per atom

a = 3.314 Å, b = 5.002 Å, c = 5.002 Å
α = 90.00°, β = 90.00°, γ = 90.00°
Last column: magnetic moment on the atom in μB.
Positions (direct):
Cd 0.000 0.500 0.500  -0.03
Ru 0.500 0.500 0.000  1.35
Br 0.500 0.000 0.500  0.05
Cd 0.000 0.000 0.000  -0.03

Entry 9:
VASP calculation (GGA-PBE) on Tb5PrDy4 after structural relaxation.

Properties
Energy of formation from the pure elements   0.183 eV per atom
Relative energy among the computed polymorphs   0 meV/atom
Crystal system   monoclinic

a = 3.548 Å, b = 10.956 Å, c = 8.813 Å
α = 90.14°, β = 101.64°, γ = 90.02°
Positions (direct):
Tb 0.500 0.500 0.000
Tb 0.826 0.448 0.653
Tb 0.826 0.056 0.651
Dy 0.651 0.250 0.303
Dy 0.027 0.747 0.054
Tb 0.174 0.552 0.347
Tb 0.174 0.944 0.349
Dy 0.973 0.253 0.946
Dy 0.349 0.750 0.697
Pr 0.500 0.000 0.000

Entry 10:
VASP calculation (GGA-PBE) on Y4Tm after structural relaxation.

Properties
Energy of formation from the pure elements   0.028 eV per atom
Relative energy among the computed polymorphs   0 meV/atom
Crystal system   monoclinic

a = 3.557 Å, b = 3.557 Å, c = 14.623 Å
α = 83.15°, β = 83.15°, γ = 60.03°
Positions (direct):
Y 0.399 0.399 0.802
Y 0.200 0.200 0.399
Y 0.601 0.601 0.198
Y 0.800 0.800 0.601
Tm 0.000 0.000 0.000

Entry 11:
VASP calculation (GGA-PBE) on Pm6PrNd12 after structural relaxation.

Properties
Energy of formation from the pure elements   0.127 eV per atom
Relative energy among the computed polymorphs   115 meV/atom
Crystal system   trigonal

a = 8.776 Å, b = 8.776 Å, c = 8.776 Å
α = 89.14°, β = 89.14°, γ = 89.14°
Positions (direct):
Nd 0.804 0.639 0.983
Nd 0.639 0.983 0.804
Pm 0.739 0.904 0.303
Nd 0.361 0.017 0.196
Nd 0.221 0.464 0.566
Nd 0.017 0.196 0.361
Nd 0.196 0.361 0.017
Nd 0.464 0.566 0.221
Pr 0.000 0.000 0.000
Nd 0.779 0.536 0.434
Pm 0.096 0.697 0.261
Pm 0.697 0.261 0.096
Pm 0.904 0.303 0.739
Nd 0.983 0.804 0.639
Nd 0.536 0.434 0.779
Pm 0.261 0.096 0.697
Nd 0.566 0.221 0.464
Pm 0.303 0.739 0.904
Nd 0.434 0.779 0.536

Entry 12:
VASP calculation (GGA-PBE) on TbRu2W after structural relaxation.

Properties
Energy of formation from the pure elements   0.053 eV per atom
Relative energy among the computed polymorphs   134 meV/atom
Crystal system   cubic

a = 4.588 Å, b = 4.588 Å, c = 4.590 Å
α = 60.01°, β = 60.01°, γ = 60.00°
Positions (direct):
Tb 0.000 0.000 0.000
Ru 0.750 0.750 0.750
W 0.500 0.500 0.500
Ru 0.250 0.250 0.250

Entry 13:
VASP calculation (GGA-PBE) on YZrHg2 after structural relaxation.

Properties
Energy of formation from the pure elements   -0.157 eV per atom
Relative energy among the computed polymorphs   123 meV/atom
Crystal system   monoclinic

a = 3.532 Å, b = 6.162 Å, c = 6.202 Å
α = 48.81°, β = 90.00°, γ = 90.00°
Positions (direct):
Y 0.500 0.500 0.500
Zr 0.000 0.000 0.500
Hg 0.500 0.500 0.000
Hg 0.000 0.000 0.000

Entry 14:
VASP calculation (GGA-PBE) on SnPdS2Cl after structural relaxation.

Properties
Relative energy among the computed polymorphs   0 meV/atom
Crystal system   tetragonal
Raw formation energy   -44 meV per atom

a = 4.774 Å, b = 4.774 Å, c = 4.811 Å
α = 90.00°, β = 90.00°, γ = 90.00°
Positions (direct):
Sn 0.500 0.500 0.500
Pd 0.000 0.000 0.000
Cl 0.000 0.000 0.500
S 0.000 0.500 0.000
S 0.500 0.000 0.000

Entry 15:
VASP calculation (GGA-PBE) on MnTeN2 after structural relaxation.

Properties
Crystal system   trigonal
Raw formation energy   826 meV per atom

a = 6.407 Å, b = 6.407 Å, c = 6.407 Å
α = 30.73°, β = 30.73°, γ = 30.73°
Last column: magnetic moment on the atom in μB.
Positions (direct):
Te 0.500 0.500 0.500  0.01
N 0.896 0.896 0.896  -0.11
Mn 0.000 0.000 0.000  3.64
N 0.104 0.104 0.104  -0.11

Entry 16:
VASP calculation (GGA-PBE) on KSnSe2Br after structural relaxation.

Properties
Relative energy among the computed polymorphs   0 meV/atom
Crystal system   tetragonal
Raw formation energy   -605 meV per atom

a = 5.307 Å, b = 5.307 Å, c = 5.888 Å
α = 90.00°, β = 90.00°, γ = 90.00°
Positions (direct):
Br 0.000 0.000 0.500
Se 0.500 0.000 0.000
K 0.500 0.500 0.500
Sn 0.000 0.000 0.000
Se 0.000 0.500 0.000

Entry 17:
VASP calculation (GGA-PBE) on Sc2MnCd after structural relaxation.

Properties
Energy of formation from the pure elements   0.017 eV per atom
Crystal system   tetragonal

a = 5.384 Å, b = 5.384 Å, c = 5.384 Å
α = 133.62°, β = 133.62°, γ = 67.68°
Last column: magnetic moment on the atom in μB.
Positions (direct):
Cd 0.500 0.500 0.000  -0.06
Sc 0.250 0.750 0.500  -0.53
Sc 0.000 0.000 0.000  -0.51
Mn 0.750 0.250 0.500  3.28

Entry 18:
VASP calculation (GGA-PBE) on Tm2Be4Si3Tc after structural relaxation.

Properties
Crystal system   tetragonal
Raw formation energy   -389 meV per atom

a = 3.755 Å, b = 3.755 Å, c = 10.031 Å
α = 90.00°, β = 90.00°, γ = 90.00°
Last column: magnetic moment on the atom in μB.
Positions (direct):
Si 0.500 0.000 0.868  0.00
Be 0.000 0.500 0.358  0.00
Tc 0.500 0.500 0.500  0.54
Be 0.500 0.000 0.642  0.00
Tm 0.000 0.500 0.756  0.02
Tm 0.500 0.000 0.244  0.02
Be 0.500 0.500 0.000  0.00
Si 0.000 0.000 0.500  0.00
Be 0.000 0.000 0.000  0.00
Si 0.000 0.500 0.132  0.00

Entry 19:
VASP calculation (GGA-PBE) on Li7CaAu4 after structural relaxation.

Properties
Energy of formation from the pure elements   -0.340 eV per atom
Crystal system   monoclinic

a = 4.799 Å, b = 7.611 Å, c = 6.898 Å
α = 74.81°, β = 69.65°, γ = 71.62°
Positions (direct):
Li 0.061 0.595 0.283
Li 0.782 0.873 0.564
Au 0.308 0.337 0.047
Li 0.500 0.000 0.000
Ca 0.000 0.000 0.000
Li 0.316 0.625 0.743
Au 0.435 0.780 0.349
Au 0.565 0.220 0.651
Li 0.218 0.127 0.436
Au 0.692 0.663 0.953
Li 0.939 0.405 0.717
Li 0.684 0.375 0.257

Entry 20:
VASP calculation (GGA-PBE) on Ti2SnW after structural relaxation.

Properties
Energy of formation from the pure elements   -0.202 eV per atom
Crystal system   tetragonal

a = 3.483 Å, b = 4.443 Å, c = 4.443 Å
α = 90.00°, β = 90.00°, γ = 90.00°
Positions (direct):
Ti 0.000 0.000 0.500
Sn 0.500 0.000 0.000
Ti 0.000 0.500 0.000
W 0.500 0.500 0.500